Record 1
Computed, not measured: Ac12PmSm3 after structural relaxation at the PBE level of DFT.

- final energy (eV for the cell shown) = -67.8
- energy of formation from the pure elements (eV/atom) = 0.027
- density of states at the Fermi level (states/eV/f.u.) = 26.83

Lattice parameters (Å, degrees): 5.524 5.524 22.024 90.00 90.00 90.00
Fractional positions:
Ac1 0.500 0.500 0.250
Sm1 0.000 0.000 0.250
Ac2 0.000 0.500 0.125
Ac3 0.000 0.500 0.375
Ac4 0.500 0.500 0.000
Ac5 0.500 0.500 0.750
Pm1 0.000 0.000 0.000
Ac6 0.000 0.500 0.625
Sm2 0.000 0.000 0.500
Ac7 0.500 0.000 0.125
Ac8 0.000 0.500 0.875
Ac9 0.500 0.500 0.500
Ac10 0.500 0.000 0.375
Sm3 0.000 0.000 0.750
Ac11 0.500 0.000 0.875
Ac12 0.500 0.000 0.625

Record 2
Computed, not measured: Ac14PmSm after structural relaxation at the PBE level of DFT.

- final energy (eV for the cell shown) = -66.6
- energy of formation from the pure elements (eV/atom) = 0.025
- density of states at the Fermi level (states/eV/f.u.) = 31.21

Lattice parameters (Å, degrees): 7.896 7.896 11.234 90.00 90.00 89.99
Fractional positions:
Ac1 0.625 0.375 0.245
Ac2 0.625 0.875 0.244
Ac3 0.375 0.625 0.500
Ac4 0.625 0.875 0.756
Pm1 0.375 0.625 0.000
Sm1 0.875 0.125 0.000
Ac5 0.875 0.125 0.500
Ac6 0.876 0.626 0.500
Ac7 0.125 0.375 0.756
Ac8 0.376 0.126 0.000
Ac9 0.625 0.375 0.755
Ac10 0.374 0.124 0.500
Ac11 0.874 0.624 0.000
Ac12 0.125 0.875 0.757
Ac13 0.125 0.875 0.243
Ac14 0.125 0.375 0.244

Record 3
Computed, not measured: Ac2Pm3Sm2 after structural relaxation at the PBE level of DFT.

- final energy (eV for the cell shown) = -30.9
- energy of formation from the pure elements (eV/atom) = 0.143
- density of states at the Fermi level (states/eV/f.u.) = 10.79
- relative energy among the computed polymorphs (kJ per mole of atoms) = 3.7

Lattice parameters (Å, degrees): 3.614 5.875 12.577 76.56 90.00 90.00
Fractional positions:
Pm1 0.000 0.000 0.000
Sm1 0.500 0.853 0.295
Ac1 0.000 0.578 0.844
Pm2 0.000 0.280 0.440
Pm3 0.000 0.720 0.560
Sm2 0.500 0.147 0.705
Ac2 0.000 0.422 0.156